# 1
Below is a crystal of Ca2AlHg relaxed with PBEsol, with properties calculated at the SCAN level.

The calculation puts the formation energy at -174.6 kJ/mol of formula units. The relative energy among the computed polymorphs is 2 meV/atom. The calculation puts the raw total energy at -24.264 eV/atom.

The space group is Pmm2 (No. 25) and the conventional cell measures 3.6202, 5.2292 and 5.3189 Å, with angles of 90.00, 90.00 and 90.00 degrees. The distinct sites, in fractional coordinates, are Ca at (0.0000, 0.0000, 0.0000), Ca at (0.0000, 0.5000, 0.4566), Al at (0.5000, 0.0000, 0.5138) and Hg at (0.5000, 0.5000, 0.9364).


# 2
Below is a crystal of TePW2 relaxed with PBEsol, with properties calculated at the SCAN level.

The relative energy among the computed polymorphs is 27 meV/atom. As for the energy relative to the elements, uncorrected: 0.444 eV/atom. The calculation puts the raw total energy at -46.312 eV/atom.

The space group is C2/m (No. 12) and the conventional cell measures 7.6808, 3.1872 and 5.8656 Å, with angles of 90.00, 102.91 and 90.00 degrees. The distinct sites, in fractional coordinates, are Te at (0.0000, 0.0000, 0.0000), P at (0.0000, 0.5000, 0.5000) and W at (0.2383, 0.0000, 0.6791).


# 3
Below is a crystal of CoCu2Br relaxed with PBEsol, with properties calculated at the SCAN level.

The relative energy among the computed polymorphs is 194 meV/atom. As for the energy relative to the elements, uncorrected: 0.624 eV/atom. The calculation puts the raw total energy at -16.166 eV/atom.

The space group is Immm (No. 71) and the conventional cell measures 2.9435, 4.0559 and 8.7908 Å, with angles of 90.00, 90.00 and 90.00 degrees. The distinct sites, in fractional coordinates, are Co at (0.0000, 0.0000, 0.0000), Cu at (0.0000, 0.5000, 0.2577) and Br at (0.0000, 0.0000, 0.5000).


# 4
Below is a crystal of KLi2P relaxed with PBEsol, with properties calculated at the SCAN level.

The calculation puts the formation energy at -247.2 kJ/mol of formula units. The calculation puts the raw total energy at -6.517 eV/atom.

The space group is R3m (No. 160, hexagonal axes) and the conventional cell measures 4.3180, 4.3180 and 17.1993 Å, with angles of 90.00, 90.00 and 120.00 degrees. The distinct sites, in fractional coordinates, are K at (0.0000, 0.0000, 0.0000), Li at (0.0000, 0.0000, 0.1719), Li at (0.0000, 0.0000, 0.4785) and P at (0.0000, 0.0000, 0.8107).


# 5
Below is a crystal of ZrTa3 relaxed with PBEsol, with properties calculated at the SCAN level.

The calculation puts the formation energy at 35.5 kJ/mol of formula units. The relative energy among the computed polymorphs is 1 meV/atom. The calculation puts the raw total energy at -57.520 eV/atom.

The space group is Cmmm (No. 65) and the conventional cell measures 3.3050, 4.6952 and 9.5591 Å, with angles of 90.00, 90.00 and 90.00 degrees. The distinct sites, in fractional coordinates, are Zr at (0.0000, 0.0000, 0.0000), Ta at (0.0000, 0.0000, 0.5000) and Ta at (0.0000, 0.5000, 0.2637).


# 6
Below is a crystal of BaLaSb4 relaxed with PBEsol, with properties calculated at the SCAN level.

As for the energy relative to the elements, uncorrected: -0.537 eV/atom. The calculation puts the raw total energy at -39.153 eV/atom.

The space group is F-43m (No. 216) and the conventional cell measures 8.9799, 8.9799 and 8.9799 Å, with angles of 90.00, 90.00 and 90.00 degrees. The distinct sites, in fractional coordinates, are Ba at (0.0000, 0.0000, 0.0000), La at (0.2500, 0.2500, 0.2500) and Sb at (0.1243, 0.1243, 0.6243).


Question: Which of these has the lowest raw total energy?
Answer: ZrTa3